A plane-wave DFT calculation with PBE with a Hubbard U was carried out for an optimized crystal structure of MnIrO2.

Cell lengths 6.424, 6.424, 6.424 Å; angles 26.29, 26.29, 26.29 degrees
Element x y z (fractional)
Mn: 0.000 0.000 0.000
Ir: 0.500 0.500 0.500
O: 0.394 0.394 0.394
O: 0.606 0.606 0.606

Values from the calculation:
SG: No. 166
DOS at the Fermi energy: 2.163 states/eV/f.u.
uncorrected energy: -30.04 eV/cell
excess energy over the best structure of this formula in the dataset: 0.00 kcal/mol of atoms